# 1
## Cr2TcMoRh (PBE)

Data for crystalline Cr2TcMoRh at its relaxed geometry.

Properties
total DFT energy (no corrections): -7.931 eV/atom
calculated volume: 95 Å³ per cell
Fermi-level density of states: 6.4 states/eV/f.u.
space-group type: P4/mmm

```
Cr2TcMoRh
1.0
-3.374 2.778 1.172
-1.996 -0.675 -4.143
-2.306 -3.511 1.683
Cr Rh Tc Mo
2 1 1 1
Direct
0.500 0.000 0.000 Cr
0.000 0.000 0.500 Cr
0.000 0.500 0.000 Rh
0.500 0.500 0.500 Tc
0.000 0.000 0.000 Mo
```


# 2
## CrTcMoRh (PBE)

Data for crystalline CrTcMoRh at its relaxed geometry.

Properties
total DFT energy (no corrections): -9.365 eV/atom
calculated volume: 58 Å³ per cell
Fermi-level density of states: 5.1 states/eV/f.u.
space-group type: F-43m

```
CrTcMoRh
1.0
4.351 0.000 0.000
2.175 3.768 0.000
2.175 1.256 3.552
Mo Rh Cr Tc
1 1 1 1
Direct
0.000 0.000 0.000 Mo
0.500 0.500 0.500 Rh
0.250 0.250 0.250 Cr
0.750 0.750 0.750 Tc
```


# 3
## VCrMoRh (PBE)

Data for crystalline VCrMoRh at its relaxed geometry.

Properties
total DFT energy (no corrections): -9.292 eV/atom
calculated volume: 56 Å³ per cell
Fermi-level density of states: 5.1 states/eV/f.u.
space-group type: F-43m

```
VCrMoRh
1.0
-1.965 1.350 3.573
1.390 -1.319 3.844
1.982 2.758 2.630
Mo Rh V Cr
1 1 1 1
Direct
0.000 0.000 0.000 Mo
0.500 0.500 0.500 Rh
0.250 0.250 0.250 V
0.750 0.750 0.750 Cr
```


# 4
## V2CrMoRh (PBE)

Data for crystalline V2CrMoRh at its relaxed geometry.

Properties
total DFT energy (no corrections): -8.270 eV/atom
calculated volume: 79 Å³ per cell
Fermi-level density of states: 6.7 states/eV/f.u.
space-group type: P4/mmm

```
V2CrMoRh
1.0
4.222 0.000 0.000
0.000 4.440 0.000
0.000 0.000 4.222
Rh Cr V Mo
1 1 2 1
Direct
0.500 0.500 0.500 Rh
0.000 0.000 0.000 Cr
0.000 0.000 0.500 V
0.500 0.000 0.000 V
0.000 0.500 0.000 Mo
```


# 5
## ZrCrMo2Rh (PBE)

Data for crystalline ZrCrMo2Rh at its relaxed geometry.

Properties
total DFT energy (no corrections): -7.791 eV/atom
calculated volume: 107 Å³ per cell
Fermi-level density of states: 9.2 states/eV/f.u.
space-group type: P4/mmm

```
ZrCrMo2Rh
1.0
-2.644 0.772 3.785
-0.812 -4.793 0.411
3.783 -0.408 2.726
Rh Mo Zr Cr
1 2 1 1
Direct
0.000 0.000 0.000 Rh
0.000 0.000 0.500 Mo
0.500 0.000 0.000 Mo
0.000 0.500 0.000 Zr
0.500 0.500 0.500 Cr
```


# 6
## CrMo2Ru (PBE)

Data for crystalline CrMo2Ru at its relaxed geometry.

Properties
total DFT energy (no corrections): -9.907 eV/atom
calculated volume: 58 Å³ per cell
Fermi-level density of states: 5.2 states/eV/f.u.
space-group type: Pmmm

```
CrMo2Ru
1.0
2.782 0.000 0.000
0.000 3.792 0.000
0.000 0.000 5.534
Cr Mo Ru
1 2 1
Direct
0.500 0.500 0.750 Cr
0.000 0.000 0.998 Mo
0.000 0.000 0.502 Mo
0.500 0.500 0.250 Ru
```


# 7
## CrMoRu2 (PBE)

Data for crystalline CrMoRu2 at its relaxed geometry.

Properties
total DFT energy (no corrections): -9.045 eV/atom
calculated volume: 122 Å³ per cell
Fermi-level density of states: 4.6 states/eV/f.u.
space-group type: I-42d

```
CrMoRu2
1.0
3.794 0.000 0.000
0.000 3.794 0.000
1.897 1.897 8.506
Ru Cr Mo
4 2 2
Direct
0.375 0.400 0.750 Ru
0.875 0.850 0.750 Ru
0.600 0.125 0.250 Ru
0.150 0.625 0.250 Ru
0.250 0.750 0.500 Cr
0.500 0.500 0.000 Cr
0.750 0.250 0.500 Mo
0.000 0.000 0.000 Mo
```


# 8
## Cr2Mo2Ru (PBE)

Data for crystalline Cr2Mo2Ru at its relaxed geometry.

Properties
total DFT energy (no corrections): -9.681 eV/atom
calculated volume: 142 Å³ per cell
Fermi-level density of states: 6.3 states/eV/f.u.
space-group type: P4/mbm

```
Cr2Mo2Ru
1.0
-0.581 2.705 -6.235
-4.449 -4.882 -1.704
-2.293 1.750 0.973
Mo Ru Cr
4 2 4
Direct
0.305 0.195 0.500 Mo
0.695 0.805 0.500 Mo
0.195 0.695 0.500 Mo
0.805 0.305 0.500 Mo
0.500 0.500 0.000 Ru
0.000 0.000 0.000 Ru
0.609 0.109 0.000 Cr
0.891 0.609 0.000 Cr
0.391 0.891 0.000 Cr
0.109 0.391 0.000 Cr
```


Number 1: magnetic moment 1.6 μB/f.u.. Number 2: magnetic moment 3.0 μB/f.u.. Number 3: magnetic moment 2.2 μB/f.u.. Number 4: magnetic moment 0.0 μB/f.u.. Number 5: magnetic moment 0.0 μB/f.u.. Number 6: magnetic moment 1.2 μB/f.u.. Number 7: magnetic moment 0.0 μB/f.u.. Number 8: magnetic moment 0.0 μB/f.u..